1.
Compound: Ce2Sn5Hg
Source: Alexandria via LeMat-Bulk
Functional: GGA-PBE
Structure: relaxed

Geometry as POSCAR:
```
Ce2Sn5Hg
1.0
4.725 0.000 0.000
0.000 6.636 0.000
0.000 0.000 13.296
Ce Sn Hg
4 10 2
Direct
0.500 0.262 0.629 Ce
0.500 0.738 0.371 Ce
0.500 0.238 0.129 Ce
0.500 0.762 0.871 Ce
0.000 0.000 0.000 Sn
0.000 0.500 0.500 Sn
0.000 0.513 0.751 Sn
0.000 0.487 0.249 Sn
0.000 0.987 0.251 Sn
0.000 0.013 0.749 Sn
0.500 0.262 0.879 Sn
0.500 0.738 0.121 Sn
0.500 0.238 0.379 Sn
0.500 0.762 0.621 Sn
0.000 0.000 0.500 Hg
0.000 0.500 0.000 Hg
```

Output
Total magnetization in μB per formula unit: 1.4
Calculated formation energy in kJ/mol of atoms: -50.3


2.
Compound: Cs3CrTe
Source: Alexandria via LeMat-Bulk
Functional: GGA-PBE
Structure: relaxed

Geometry as POSCAR:
```
Cs3CrTe
1.0
7.355 0.000 0.000
0.000 7.355 0.000
0.000 0.000 7.355
Cs Cr Te
3 1 1
Direct
0.000 0.500 0.000 Cs
0.000 0.000 0.500 Cs
0.500 0.000 0.000 Cs
0.500 0.500 0.500 Cr
0.000 0.000 0.000 Te
```

Output
Total magnetization in μB per formula unit: 5.0
Formation energy from raw total energies in eV/atom: 0.05


3.
Compound: Ir3OsRh
Source: Alexandria via LeMat-Bulk
Functional: GGA-PBE
Structure: relaxed

Geometry as POSCAR:
```
Ir3OsRh
1.0
-1.145 -3.621 0.698
3.630 -1.851 -3.646
9.381 -1.062 9.878
Ir Os Rh
12 4 4
Direct
0.250 0.876 0.748 Ir
0.750 0.624 0.248 Ir
0.750 0.124 0.252 Ir
0.250 0.376 0.752 Ir
0.750 0.122 0.649 Ir
0.250 0.378 0.149 Ir
0.250 0.878 0.351 Ir
0.750 0.622 0.851 Ir
0.750 0.628 0.451 Ir
0.250 0.872 0.951 Ir
0.250 0.372 0.549 Ir
0.750 0.128 0.049 Ir
0.250 0.880 0.547 Os
0.750 0.620 0.047 Os
0.750 0.120 0.453 Os
0.250 0.380 0.953 Os
0.750 0.626 0.651 Rh
0.250 0.874 0.151 Rh
0.250 0.374 0.349 Rh
0.750 0.126 0.849 Rh
```

Output
Total magnetization in μB per formula unit: 0.0
Calculated formation energy in kJ/mol of atoms: 0.5


4.
Compound: La2ZrScH
Source: Alexandria via LeMat-Bulk
Functional: GGA-PBE
Structure: relaxed

Geometry as POSCAR:
```
La2ZrScH
1.0
5.116 0.000 0.000
0.000 5.116 0.000
0.000 0.000 4.604
Sc H Zr La
1 1 1 2
Direct
0.500 0.500 0.500 Sc
0.000 0.000 0.000 H
0.000 0.000 0.500 Zr
0.000 0.500 0.000 La
0.500 0.000 0.000 La
```

Output
DFT total energy in eV/atom: -5.655
Total magnetization in μB per formula unit: 0.0


Which value of total magnetization does entry 4 give?
0.0 μB per formula unit


Which of these has the highest total magnetization?
Cs3CrTe